No. 1
Computed, not measured: BaSe5 after structural relaxation at the PBE level of DFT.

Calculated values
Symmetry   P-62m (189)
Formation energy from raw total energies   -0.338 eV/atom
Energy above the most stable polymorph in this dataset   161 kJ/mol of formula units
N(E_F)   4.7 states/eV/f.u.
Volume   158.93 Å³/cell

Unit cell a=6.663 b=6.663 c=4.134 alpha=90.00 beta=90.00 gamma=120.00
Fractional positions:
Ba: 0.000 0.000 0.500
Se: 0.587 0.000 0.000
Se: 0.413 0.413 0.000
Se: 0.000 0.587 0.000
Se: 0.667 0.333 0.500
Se: 0.333 0.667 0.500

***

No. 2
Computed, not measured: BaSe3 after structural relaxation at the PBE level of DFT.

Calculated values
Symmetry   R-3m (166)
Formation energy from raw total energies   -0.695 eV/atom
N(E_F)   5.3 states/eV/f.u.
Volume   126.07 Å³/cell

Unit cell a=5.478 b=5.478 c=5.478 alpha=109.57 beta=109.57 gamma=109.57
Fractional positions:
Ba: 0.000 0.000 0.000
Se: 0.500 0.000 0.500
Se: 0.500 0.500 0.000
Se: 0.000 0.500 0.500

***

No. 3
Computed, not measured: Ba4Se3 after structural relaxation at the PBE level of DFT.

Calculated values
Symmetry   R-3m (166)
Formation energy from raw total energies   -1.714 eV/atom
Energy above the most stable polymorph in this dataset   0 kJ/mol of formula units
N(E_F)   3.0 states/eV/f.u.
Volume   297.12 Å³/cell

Unit cell a=4.704 b=4.704 c=15.738 alpha=81.40 beta=81.40 gamma=60.00
Fractional positions:
Ba: 0.374 0.374 0.878
Ba: 0.123 0.123 0.631
Ba: 0.877 0.877 0.369
Ba: 0.626 0.626 0.122
Se: 0.750 0.750 0.749
Se: 0.250 0.250 0.251
Se: 0.000 0.000 0.000

***

No. 4
Computed, not measured: BaSe after structural relaxation at the PBE level of DFT.

Calculated values
Symmetry   Pm-3m (221)
Formation energy from raw total energies   -1.851 eV/atom
Volume   64.57 Å³/cell

Unit cell a=4.012 b=4.012 c=4.012 alpha=90.00 beta=90.00 gamma=90.00
Fractional positions:
Ba: 0.000 0.000 0.000
Se: 0.500 0.500 0.500

***

No. 5
Computed, not measured: Ba5Se4 after structural relaxation at the PBE level of DFT.

Calculated values
Symmetry   I4/mmm (139)
Formation energy from raw total energies   -1.390 eV/atom
Energy above the most stable polymorph in this dataset   233 kJ/mol of formula units
N(E_F)   3.7 states/eV/f.u.
Volume   601.70 Å³/cell

Unit cell a=11.843 b=11.843 c=11.843 alpha=92.02 beta=92.02 gamma=158.36
Fractional positions:
Ba: 0.000 0.000 0.000
Ba: 0.645 0.355 0.000
Ba: 0.355 0.645 0.000
Ba: 0.355 0.355 0.710
Ba: 0.645 0.645 0.290
Se: 0.810 0.000 0.810
Se: 0.190 0.000 0.190
Se: 0.000 0.190 0.190
Se: 0.000 0.810 0.810

***

No. 6
Computed, not measured: Ba5Se4 after structural relaxation at the PBE level of DFT.

Calculated values
Symmetry   I4/m (87)
Formation energy from raw total energies   -1.658 eV/atom
Energy above the most stable polymorph in this dataset   0 kJ/mol of formula units
N(E_F)   2.6 states/eV/f.u.
Volume   390.66 Å³/cell

Unit cell a=9.515 b=9.515 c=9.515 alpha=93.32 beta=93.32 gamma=152.14
Fractional positions:
Ba: 0.751 0.584 0.335
Ba: 0.416 0.751 0.167
Ba: 0.584 0.249 0.833
Ba: 0.249 0.416 0.665
Ba: 0.000 0.000 0.000
Se: 0.894 0.783 0.677
Se: 0.217 0.894 0.112
Se: 0.783 0.106 0.888
Se: 0.106 0.217 0.323

***

No. 7
Computed, not measured: BaSe after structural relaxation at the PBE level of DFT.

Calculated values
Symmetry   R3m (160)
Formation energy from raw total energies   -1.978 eV/atom
N(E_F)   0.0 states/eV/f.u.
Volume   448.05 Å³/cell

Unit cell a=4.630 b=4.630 c=24.137 alpha=90.00 beta=90.00 gamma=120.00
Fractional positions:
Ba: 0.000 0.000 0.692
Ba: 0.333 0.667 0.358
Ba: 0.667 0.333 0.025
Ba: 0.000 0.000 0.523
Ba: 0.333 0.667 0.189
Ba: 0.667 0.333 0.856
Se: 0.000 0.000 0.106
Se: 0.333 0.667 0.773
Se: 0.667 0.333 0.440
Se: 0.000 0.000 0.275
Se: 0.333 0.667 0.941
Se: 0.667 0.333 0.608

***

No. 8
Computed, not measured: Ba2Se after structural relaxation at the PBE level of DFT.

Calculated values
Symmetry   I4_1/amd (141)
Formation energy from raw total energies   -1.038 eV/atom
N(E_F)   2.0 states/eV/f.u.
Volume   526.48 Å³/cell

Unit cell a=22.911 b=22.911 c=22.911 alpha=167.92 beta=167.92 gamma=17.11
Fractional positions:
Ba: 0.250 0.250 0.000
Ba: 0.750 0.750 0.000
Ba: 0.500 0.000 0.500
Ba: 0.000 0.500 0.500
Ba: 0.422 0.422 0.000
Ba: 0.578 0.578 0.000
Ba: 0.672 0.172 0.500
Ba: 0.828 0.328 0.500
Se: 0.053 0.053 0.000
Se: 0.947 0.947 0.000
Se: 0.303 0.803 0.500
Se: 0.197 0.697 0.500